No. 1
Compound: Pu2AlGe
Source: the Alexandria database
Functional: PBE-GGA
Structure: optimized geometry

- Calculated formation energy: -0.007 eV per atom
- DFT total energy: -9.263 eV per atom
- M_tot: 2.33 μB/atom
- SG: R-3m (166)

Cell lengths 2.979, 2.979, 10.762 Å; angles 82.05, 82.05, 60.00 degrees
Atoms (fractional coordinates):
Ge 0.000 0.000 0.000
Pu 0.251 0.251 0.246
Al 0.500 0.500 0.500
Pu 0.749 0.749 0.754



No. 2
Compound: PuAl2Ge3
Source: the Alexandria database
Functional: PBE-GGA
Structure: optimized geometry

- Calculated formation energy: -0.171 eV per atom
- DFT total energy: -6.116 eV per atom
- M_tot: 0.89 μB/atom
- SG: Cmmm (65)

Cell lengths 4.077, 4.472, 6.522 Å; angles 110.05, 90.00, 90.00 degrees
Atoms (fractional coordinates):
Ge 0.500 0.500 0.000
Al 0.000 0.324 0.647
Ge 0.500 0.826 0.652
Ge 0.500 0.174 0.348
Al 0.000 0.676 0.353
Pu 0.000 0.000 0.000



No. 3
Compound: Pu4AlGe2
Source: the Alexandria database
Functional: PBE-GGA
Structure: optimized geometry

- Calculated formation energy: -0.064 eV per atom
- DFT total energy: -10.107 eV per atom
- M_tot: 0.02 μB/atom
- SG: R-3m (166)

Cell lengths 4.979, 4.979, 7.387 Å; angles 70.31, 70.31, 60.00 degrees
Atoms (fractional coordinates):
Pu 0.389 0.389 0.833
Ge 0.121 0.121 0.637
Al 0.000 0.000 0.000
Pu 0.611 0.611 0.167
Pu 0.738 0.738 0.786
Ge 0.879 0.879 0.363
Pu 0.262 0.262 0.214



No. 4
Compound: Pu3AlGe3
Source: the Alexandria database
Functional: PBE-GGA
Structure: optimized geometry

- Calculated formation energy: -0.416 eV per atom
- DFT total energy: -9.072 eV per atom
- M_tot: 2.52 μB/atom
- Relative energy among the computed polymorphs: 0.0 meV/atom
- SG: C2/m (12)

Cell lengths 4.363, 5.869, 13.362 Å; angles 82.02, 80.60, 68.18 degrees
Atoms (fractional coordinates):
Ge 0.142 0.266 0.449
Ge 0.110 0.855 0.926
Pu 0.606 0.709 0.080
Ge 0.975 0.818 0.231
Ge 0.858 0.734 0.551
Al 0.771 0.064 0.394
Ge 0.890 0.145 0.074
Pu 0.517 0.347 0.619
Pu 0.394 0.291 0.920
Pu 0.483 0.653 0.381
Pu 0.737 0.749 0.777
Ge 0.025 0.182 0.769
Pu 0.263 0.251 0.223
Al 0.229 0.936 0.606



No. 5
Compound: PuAl3Ge
Source: the Alexandria database
Functional: PBE-GGA
Structure: optimized geometry

- Calculated formation energy: -0.216 eV per atom
- DFT total energy: -6.251 eV per atom
- M_tot: 1.15 μB/atom
- SG: I4mm (107)

Cell lengths 4.148, 4.149, 6.380 Å; angles 71.08, 71.08, 90.02 degrees
Atoms (fractional coordinates):
Pu 0.405 0.209 0.895
Al 0.652 0.956 0.400
Al 0.153 0.456 0.400
Ge 0.007 0.811 0.690
Al 0.790 0.593 0.125



No. 6
Compound: Pu5AlGe3
Source: the Alexandria database
Functional: PBE-GGA
Structure: optimized geometry

- Calculated formation energy: -0.368 eV per atom
- DFT total energy: -10.285 eV per atom
- M_tot: 3.17 μB/atom
- SG: P6_3/mcm (193)

Cell lengths 6.157, 8.797, 8.797 Å; angles 120.00, 90.00, 90.00 degrees
Atoms (fractional coordinates):
Pu 0.750 0.695 0.000
Ge 0.750 0.355 0.000
Al 0.000 0.000 0.000
Pu 0.250 0.000 0.305
Ge 0.750 0.000 0.355
Pu 0.500 0.333 0.667
Pu 0.750 0.000 0.695
Ge 0.250 0.000 0.645
Pu 0.000 0.667 0.333
Ge 0.250 0.355 0.355
Al 0.500 0.000 0.000
Pu 0.500 0.667 0.333
Pu 0.250 0.305 0.000
Pu 0.000 0.333 0.667
Pu 0.250 0.695 0.695
Ge 0.750 0.645 0.645
Ge 0.250 0.645 0.000
Pu 0.750 0.305 0.305



No. 7
Compound: Pu4AlGe
Source: the Alexandria database
Functional: PBE-GGA
Structure: optimized geometry

- Calculated formation energy: -0.050 eV per atom
- DFT total energy: -10.998 eV per atom
- M_tot: 3.88 μB/atom
- SG: Pmmm (47)

Cell lengths 3.097, 5.067, 8.745 Å; angles 90.00, 90.00, 90.00 degrees
Atoms (fractional coordinates):
Pu 0.499 0.497 0.330
Pu 0.499 0.997 0.833
Pu 0.499 0.497 0.667
Al 0.999 0.997 0.498
Ge 0.998 0.497 0.998
Pu 0.499 0.997 0.164



No. 8
Compound: Pu6AlGe5
Source: the Alexandria database
Functional: PBE-GGA
Structure: optimized geometry

- Calculated formation energy: -0.358 eV per atom
- DFT total energy: -9.760 eV per atom
- M_tot: 0.97 μB/atom
- SG: C2/m (12)

Cell lengths 4.738, 7.863, 7.950 Å; angles 60.36, 84.55, 90.00 degrees
Atoms (fractional coordinates):
Pu 0.777 0.577 0.339
Ge 0.289 0.846 0.309
Ge 0.711 0.154 0.691
Pu 0.223 0.916 0.661
Ge 0.716 0.662 0.675
Pu 0.223 0.423 0.661
Pu 0.500 0.258 0.000
Pu 0.777 0.084 0.339
Al 0.000 0.000 0.000
Ge 0.000 0.500 0.000
Pu 0.500 0.742 0.000
Ge 0.284 0.338 0.325



No. 9
Compound: PuAl3Ge3
Source: the Alexandria database
Functional: PBE-GGA
Structure: optimized geometry

- Calculated formation energy: 0.177 eV per atom
- DFT total energy: -5.453 eV per atom
- M_tot: 0.80 μB/atom
- SG: Pm-3n (223)

Cell lengths 7.014, 7.014, 7.014 Å; angles 90.00, 90.00, 90.00 degrees
Atoms (fractional coordinates):
Al 0.500 0.750 0.000
Pu 0.500 0.500 0.500
Ge 0.750 0.500 0.000
Ge 0.500 0.000 0.750
Al 0.500 0.250 0.000
Ge 0.500 0.000 0.250
Ge 0.000 0.250 0.500
Al 0.000 0.500 0.750
Ge 0.000 0.750 0.500
Al 0.250 0.000 0.500
Al 0.000 0.500 0.250
Ge 0.250 0.500 0.000
Pu 0.000 0.000 0.000
Al 0.750 0.000 0.500



No. 10
Compound: PuAlGe2
Source: the Alexandria database
Functional: PBE-GGA
Structure: optimized geometry

- Calculated formation energy: -0.238 eV per atom
- DFT total energy: -7.066 eV per atom
- M_tot: 1.37 μB/atom
- SG: R-3m (166)

Cell lengths 4.394, 4.394, 5.441 Å; angles 66.18, 66.18, 60.00 degrees
Atoms (fractional coordinates):
Ge 0.223 0.223 0.330
Pu 0.000 0.000 0.000
Ge 0.777 0.777 0.670
Al 0.500 0.500 0.500



No. 11
Compound: Pu3AlGe2
Source: the Alexandria database
Functional: PBE-GGA
Structure: optimized geometry

- Calculated formation energy: -0.278 eV per atom
- DFT total energy: -9.607 eV per atom
- M_tot: 3.04 μB/atom
- Relative energy among the computed polymorphs: 30.5 meV/atom
- SG: Ibam (72)

Cell lengths 6.238, 5.986, 8.611 Å; angles 110.34, 111.24, 90.00 degrees
Atoms (fractional coordinates):
Pu 0.500 0.250 0.000
Al 0.000 0.750 0.000
Pu 0.083 0.825 0.650
Pu 0.433 0.675 0.350
Pu 0.917 0.175 0.350
Al 0.000 0.250 0.000
Pu 0.567 0.325 0.650
Ge 0.906 0.624 0.248
Ge 0.658 0.876 0.752
Ge 0.094 0.376 0.752
Ge 0.342 0.124 0.248
Pu 0.500 0.750 0.000



No. 12
Compound: PuAlGe2
Source: the Alexandria database
Functional: PBE-GGA
Structure: optimized geometry

- Calculated formation energy: -0.225 eV per atom
- DFT total energy: -7.052 eV per atom
- M_tot: 1.45 μB/atom
- SG: P4/mmm (123)

Cell lengths 3.525, 3.525, 6.316 Å; angles 90.00, 90.00, 90.00 degrees
Atoms (fractional coordinates):
Ge 0.000 0.000 0.795
Ge 0.000 0.000 0.205
Al 0.500 0.500 0.000
Pu 0.500 0.500 0.500



No. 13
Compound: Pu3AlGe3
Source: the Alexandria database
Functional: PBE-GGA
Structure: optimized geometry

- Calculated formation energy: -0.185 eV per atom
- DFT total energy: -8.840 eV per atom
- M_tot: 2.27 μB/atom
- Relative energy among the computed polymorphs: 231.8 meV/atom
- SG: P6_3/m (176)

Cell lengths 5.644, 8.340, 8.340 Å; angles 120.00, 90.00, 90.00 degrees
Atoms (fractional coordinates):
Ge 0.750 0.244 0.324
Pu 0.750 0.902 0.332
Ge 0.750 0.676 0.921
Pu 0.250 0.098 0.668
Pu 0.750 0.430 0.098
Ge 0.250 0.756 0.676
Ge 0.750 0.079 0.756
Pu 0.250 0.570 0.902
Pu 0.750 0.668 0.570
Ge 0.250 0.324 0.079
Pu 0.250 0.332 0.430
Ge 0.250 0.921 0.244
Al 0.750 0.333 0.667
Al 0.250 0.667 0.333



No. 14
Compound: PuAlGe2
Source: the Alexandria database
Functional: PBE-GGA
Structure: optimized geometry

- Calculated formation energy: -0.378 eV per atom
- DFT total energy: -7.206 eV per atom
- M_tot: 1.27 μB/atom
- SG: P4/mmm (123)

Cell lengths 4.096, 4.324, 4.324 Å; angles 90.00, 90.00, 90.00 degrees
Atoms (fractional coordinates):
Ge 0.000 0.500 0.000
Ge 0.000 0.000 0.500
Pu 0.500 0.000 0.000
Al 0.500 0.500 0.500



No. 15
Compound: Pu3Al2Ge4
Source: the Alexandria database
Functional: PBE-GGA
Structure: optimized geometry

- Calculated formation energy: -0.386 eV per atom
- DFT total energy: -8.048 eV per atom
- M_tot: 1.91 μB/atom
- SG: C2/m (12)

Cell lengths 4.325, 5.957, 8.692 Å; angles 114.33, 90.00, 111.29 degrees
Atoms (fractional coordinates):
Ge 0.089 0.178 0.398
Ge 0.911 0.822 0.602
Al 0.671 0.342 0.323
Pu 0.626 0.252 0.681
Ge 0.708 0.417 0.050
Pu 0.000 0.000 0.000
Ge 0.292 0.583 0.950
Al 0.329 0.658 0.677
Pu 0.374 0.748 0.319



No. 16
Compound: Pu3AlGe2
Source: the Alexandria database
Functional: PBE-GGA
Structure: optimized geometry

- Calculated formation energy: -0.308 eV per atom
- DFT total energy: -9.637 eV per atom
- M_tot: 1.05 μB/atom
- Relative energy among the computed polymorphs: 0.0 meV/atom
- SG: Immm (71)

Cell lengths 7.905, 7.905, 7.905 Å; angles 150.40, 146.53, 45.28 degrees
Atoms (fractional coordinates):
Pu 0.665 0.165 0.500
Pu 0.500 0.500 0.000
Ge 0.131 0.631 0.500
Ge 0.869 0.369 0.500
Al 0.000 0.000 0.000
Pu 0.335 0.835 0.500



No. 17
Compound: Pu2Al3Ge4
Source: the Alexandria database
Functional: PBE-GGA
Structure: optimized geometry

- Calculated formation energy: -0.348 eV per atom
- DFT total energy: -6.832 eV per atom
- M_tot: 1.23 μB/atom
- SG: Cmce (64)

Cell lengths 5.875, 7.928, 7.992 Å; angles 90.00, 111.56, 90.00 degrees
Atoms (fractional coordinates):
Pu 0.386 0.074 0.772
Pu 0.114 0.574 0.228
Ge 0.183 0.948 0.365
Ge 0.203 0.750 0.905
Pu 0.614 0.926 0.228
Al 0.468 0.250 0.436
Ge 0.797 0.250 0.095
Ge 0.817 0.052 0.635
Ge 0.317 0.448 0.635
Ge 0.297 0.250 0.095
Ge 0.683 0.552 0.365
Al 0.500 0.500 0.000
Pu 0.886 0.426 0.772
Al 0.000 0.000 0.000
Al 0.032 0.750 0.564
Al 0.532 0.750 0.564
Al 0.968 0.250 0.436
Ge 0.703 0.750 0.905



No. 18
Compound: Pu5AlGe4
Source: the Alexandria database
Functional: PBE-GGA
Structure: optimized geometry

- Calculated formation energy: -0.341 eV per atom
- DFT total energy: -9.729 eV per atom
- M_tot: 0.61 μB/atom
- SG: P4/mmm (123)

Cell lengths 3.841, 3.841, 14.488 Å; angles 90.00, 90.00, 90.00 degrees
Atoms (fractional coordinates):
Pu 0.500 0.500 0.703
Ge 0.000 0.000 0.799
Pu 0.500 0.500 0.112
Ge 0.000 0.000 0.201
Pu 0.500 0.500 0.500
Ge 0.000 0.000 0.399
Pu 0.500 0.500 0.888
Ge 0.000 0.000 0.601
Al 0.000 0.000 0.000
Pu 0.500 0.500 0.297



No. 19
Compound: Pu2Al3Ge2
Source: the Alexandria database
Functional: PBE-GGA
Structure: optimized geometry

- Calculated formation energy: -0.198 eV per atom
- DFT total energy: -7.216 eV per atom
- M_tot: 1.61 μB/atom
- SG: Cmmm (65)

Cell lengths 2.951, 4.035, 11.868 Å; angles 99.79, 90.00, 90.00 degrees
Atoms (fractional coordinates):
Pu 0.000 0.859 0.717
Ge 0.500 0.284 0.567
Al 0.000 0.000 0.000
Pu 0.000 0.141 0.283
Al 0.500 0.441 0.883
Ge 0.500 0.716 0.433
Al 0.500 0.559 0.117



No. 20
Compound: Pu2AlGe
Source: the Alexandria database
Functional: PBE-GGA
Structure: optimized geometry

- Calculated formation energy: -0.311 eV per atom
- DFT total energy: -9.567 eV per atom
- M_tot: 2.76 μB/atom
- SG: P4/mmm (123)

Cell lengths 4.401, 4.429, 4.429 Å; angles 90.00, 90.00, 90.00 degrees
Atoms (fractional coordinates):
Pu 0.000 0.500 0.000
Al 0.500 0.500 0.500
Ge 0.500 0.000 0.000
Pu 0.000 0.000 0.500